Record 1
Y2HfScH | PBE | optimized geometry

Cell: 4.841 4.841 4.632 Å, 90.00 90.00 90.00°
Space group P4/mmm (No. 123)
Inequivalent atoms, fractional coordinates:
Y 0.000 0.500 0.000 x2
Hf 0.000 0.000 0.500 x1
Sc 0.500 0.500 0.500 x1
H 0.000 0.000 0.000 x1

Distance to the lowest polymorph of the same formula ... 0.0058 eV/atom
Crystal system ... tetragonal



Record 2
SnHS2 | PBE | optimized geometry

Cell: 4.0149 4.0149 18.5418 Å, 90.00 90.00 120.00°
Space group R-3m (No. 166, hexagonal axes)
Inequivalent atoms, fractional coordinates:
Sn 0.0000 0.0000 0.0000 x3
H 0.0000 0.0000 0.5000 x3
S 0.0000 0.0000 0.4124 x6

Distance to the lowest polymorph of the same formula ... 0.0916 eV/atom
Crystal system ... trigonal



Record 3
LaTb4Tm5 | PBE | optimized geometry

Cell: 3.539 6.623 14.177 Å, 98.82 93.67 103.24°
Space group P-1 (No. 2)
Inequivalent atoms, fractional coordinates:
La 0.000 0.000 0.000 x1
Tb 0.111 0.805 0.220 x2
Tb 0.205 0.729 0.801 x2
Tm 0.206 0.881 0.582 x2
Tm 0.495 0.428 0.611 x2
Tm 0.500 0.500 0.000 x1

Distance to the lowest polymorph of the same formula ... 0.0000 eV/atom
E_form ... 0.067 eV per atom
Crystal system ... triclinic



Record 4
RbAl2Pt2 | PBE | optimized geometry

Cell: 8.149 8.149 2.816 Å, 90.00 90.00 90.00°
Space group P4/mbm (No. 127)
Inequivalent atoms, fractional coordinates:
Rb 0.000 0.000 0.000 x2
Al 0.125 0.375 0.500 x4
Pt 0.159 0.659 0.000 x4

Distance to the lowest polymorph of the same formula ... 0.0943 eV/atom
E_form ... -0.475 eV per atom
Crystal system ... tetragonal



Record 5
Sc2FeSb | PBE | optimized geometry

Cell: 4.493 4.493 3.852 Å, 90.00 90.00 90.00°
Space group P4/mmm (No. 123)
Inequivalent atoms, fractional coordinates:
Sc 0.000 0.500 0.000 x2
Fe 0.000 0.000 0.500 x1
Sb 0.500 0.500 0.500 x1

Formation energy (no corrections) ... -1.6 eV per formula unit
Crystal system ... tetragonal



Record 6
Ac8SnOs2 | PBE | optimized geometry

Cell: 9.523 14.134 6.111 Å, 90.00 103.04 90.00°
Space group Cm (No. 8)
Inequivalent atoms, fractional coordinates:
Ac 0.000 0.000 0.000 x2
Ac 0.082 0.368 0.796 x4
Ac 0.188 0.132 0.628 x4
Ac 0.269 0.500 0.422 x2
Ac 0.385 0.249 0.211 x4
Sn 0.384 0.000 0.209 x2
Os 0.385 0.307 0.711 x4

E_form ... -0.076 eV per atom
Crystal system ... monoclinic



Record 7
Ca2TlZn | PBE | optimized geometry

Cell: 7.549 7.549 7.549 Å, 90.00 90.00 90.00°
Space group F-43m (No. 216)
Inequivalent atoms, fractional coordinates:
Ca 0.000 0.000 0.000 x4
Ca 0.250 0.250 0.250 x4
Tl 0.250 0.250 0.750 x4
Zn 0.000 0.000 0.500 x4

E_form ... -0.090 eV per atom
Crystal system ... cubic



Record 8
UGe6Ir5 | PBE | optimized geometry

Cell: 5.466 10.858 7.275 Å, 90.00 110.58 90.00°
Space group C2/m (No. 12)
Inequivalent atoms, fractional coordinates:
U 0.000 0.000 0.000 x2
Ge 0.140 0.500 0.213 x4
Ge 0.226 0.304 0.696 x8
Ir 0.000 0.122 0.500 x4
Ir 0.000 0.305 0.000 x4
Ir 0.000 0.500 0.500 x2

E_form ... -0.185 eV per atom
Crystal system ... monoclinic



Final energy, respectively: -32.80; -16.18; -45.14; -22.91; -26.81; -60.17; -8.01; -85.52 eV/f.u..